Computed, not measured: a relaxed structure of HoPu2Al9 at the PBE level of DFT.

Cell lengths 5.501, 5.501, 9.405 Å; angles 72.99, 72.99, 60.00 degrees
Last column: magnetic moment on the atom in μB.
Atoms (fractional coordinates):
Al 0.500 0.500 0.500  -0.03
Ho 0.000 0.000 0.000  -0.06
Al 0.335 0.335 0.996  0.00
Al 0.414 0.922 0.249  -0.01
Al 0.414 0.414 0.249  -0.01
Al 0.078 0.586 0.751  -0.01
Al 0.922 0.414 0.249  -0.01
Al 0.586 0.586 0.751  -0.01
Pu 0.856 0.856 0.433  5.34
Pu 0.144 0.144 0.567  5.34
Al 0.665 0.665 0.004  0.00
Al 0.586 0.078 0.751  -0.01

As for the formation energy from the elements: -0.28 eV/atom. The symmetry is No. 166. The volume comes out at 19.33 A^3/atom. The value obtained for the total energy is -70.3 eV per cell.